[1]
This record from Alexandria describes crystalline LaMg7Zn5 at its relaxed geometry. The functional is PBE.

Unit cell a=5.5825 b=7.3774 c=7.3774 alpha=81.27 beta=67.77 gamma=67.77
Fractional coordinates of all 13 atoms:
Zn  0.5014  0.5045  0.9941
Mg  0.5028  0.7881  0.2062
Zn  0.9999  0.9941  0.5045
La  0.0045  0.9955  0.9955
Mg  0.2778  0.2222  0.2222
Mg  0.9959  0.6558  0.3524
Zn  0.9999  0.5045  0.9941
Zn  0.7174  0.7826  0.7826
Mg  0.3474  0.6526  0.6526
Mg  0.6527  0.3473  0.3473
Mg  0.5028  0.2062  0.7881
Zn  0.5014  0.9941  0.5045
Mg  0.9959  0.3524  0.6558

---

[2]
This record from Alexandria describes crystalline La6MgZn3 at its relaxed geometry. The functional is PBE.

Unit cell a=5.3531 b=9.6320 c=11.8027 alpha=107.10 beta=90.00 gamma=90.00
Fractional coordinates of all 20 atoms:
La  0.2500  0.0977  0.8812
La  0.2500  0.8198  0.2895
Zn  0.7500  0.2310  0.0239
La  0.7500  0.1802  0.7105
Zn  0.2500  0.3749  0.7869
Mg  0.2500  0.9580  0.5869
La  0.7500  0.5345  0.9091
Mg  0.7500  0.0420  0.4131
Zn  0.7500  0.4572  0.6178
Zn  0.2500  0.7690  0.9761
La  0.7500  0.8819  0.8487
La  0.7500  0.7193  0.4927
La  0.7500  0.9023  0.1188
La  0.2500  0.2807  0.5073
La  0.2500  0.6425  0.6836
La  0.2500  0.1181  0.1513
La  0.2500  0.4655  0.0909
Zn  0.7500  0.6251  0.2132
La  0.7500  0.3575  0.3164
Zn  0.2500  0.5428  0.3822

---

[3]
This record from Alexandria describes crystalline LaMgZn4 at its relaxed geometry. The functional is PBE.

Unit cell a=3.5514 b=8.3311 c=16.6154 alpha=90.00 beta=90.00 gamma=90.00
Fractional coordinates of all 24 atoms:
Zn  0.5000  0.2145  0.8098
Zn  0.5000  0.0286  0.6948
Zn  0.5000  0.5286  0.8052
La  0.0000  0.3762  0.6556
Zn  0.5000  0.8758  0.0388
La  0.0000  0.8762  0.8444
Mg  0.0000  0.6258  0.0853
Zn  0.5000  0.7855  0.1902
Mg  0.0000  0.3742  0.9147
Zn  0.5000  0.7145  0.6902
La  0.0000  0.1238  0.1556
Mg  0.0000  0.1258  0.4147
Zn  0.5000  0.9714  0.3052
Zn  0.5000  0.3715  0.0499
Mg  0.0000  0.8742  0.5853
Zn  0.5000  0.6285  0.9501
Zn  0.5000  0.3758  0.4612
Zn  0.5000  0.2855  0.3098
Zn  0.5000  0.8715  0.4501
Zn  0.5000  0.1285  0.5499
La  0.0000  0.6238  0.3444
Zn  0.5000  0.4714  0.1948
Zn  0.5000  0.1242  0.9612
Zn  0.5000  0.6242  0.5388

---

[4]
This record from Alexandria describes crystalline La3Mg2Zn7 at its relaxed geometry. The functional is PBE.

Unit cell a=5.7180 b=5.7180 c=9.5721 alpha=72.62 beta=72.62 gamma=60.00
Fractional coordinates of all 12 atoms:
Zn  0.4137  0.4137  0.2527
La  0.8589  0.8589  0.4233
La  0.1411  0.1411  0.5767
Zn  0.4137  0.9199  0.2527
Mg  0.3341  0.3341  0.9978
Mg  0.6659  0.6659  0.0022
Zn  0.0801  0.5863  0.7473
Zn  0.5000  0.5000  0.5000
La  0.0000  0.0000  0.0000
Zn  0.5863  0.0801  0.7473
Zn  0.9199  0.4137  0.2527
Zn  0.5863  0.5863  0.7473

---

[5]
This record from Alexandria describes crystalline La3Mg2Zn at its relaxed geometry. The functional is PBE.

Unit cell a=3.8771 b=3.8771 c=11.8008 alpha=90.00 beta=90.00 gamma=90.00
Fractional coordinates of all 6 atoms:
La  0.0000  0.0000  0.0000
La  0.0000  0.0000  0.6475
La  0.0000  0.0000  0.3525
Zn  0.5000  0.5000  0.5000
Mg  0.5000  0.5000  0.1723
Mg  0.5000  0.5000  0.8277

---

[6]
This record from Alexandria describes crystalline LaMgZn4 at its relaxed geometry. The functional is PBE.

Unit cell a=4.4170 b=7.6399 c=7.4051 alpha=90.00 beta=90.00 gamma=90.00
Fractional coordinates of all 12 atoms:
La  0.0000  0.6496  0.7500
Zn  0.5000  0.6681  0.4381
Zn  0.5000  0.3319  0.9381
Mg  0.0000  0.7690  0.2500
Zn  0.5000  0.9516  0.7500
Mg  0.0000  0.2310  0.7500
Zn  0.0000  0.0000  0.5000
Zn  0.5000  0.6681  0.0619
La  0.0000  0.3504  0.2500
Zn  0.0000  0.0000  0.0000
Zn  0.5000  0.3319  0.5619
Zn  0.5000  0.0484  0.2500

---

no.,energy of formation (eV per atom),density of states at the Fermi level (states/eV/cell)
1,-0.17,5.24
2,-0.18,21.53
3,-0.23,11.90
4,-0.27,8.68
5,-0.18,7.32
6,-0.11,5.81